The following is a DFT calculation (GGA-PBE) of a relaxed PrIn4Au4 crystal.

abc: 6.820 6.820 9.233
angles: 90.00 90.00 90.00
Space group P4_2/nmc (No. 137, origin choice 2)
Symmetry-distinct sites (fractional):
Pr: 0.250 0.750 0.250
In: 0.020 0.250 0.141
Au: 0.034 0.250 0.443

Output
- ΔH_f (0 K) (eV/atom) = -0.3015
- Fermi-level density of states (states/eV/f.u.) = 3.89


The following is a DFT calculation (GGA-PBE) of a relaxed MgCo2Ag crystal.

abc: 2.916 2.916 6.853
angles: 90.00 90.00 90.00
Space group P4mm (No. 99)
Symmetry-distinct sites (fractional):
Mg: 0.000 0.000 0.000
Co: 0.000 0.000 0.570
Co: 0.500 0.500 0.738
Ag: 0.500 0.500 0.299

Output
- ΔH_f (0 K) (eV/atom) = 0.0919
- Fermi-level density of states (states/eV/f.u.) = 2.56


The following is a DFT calculation (GGA-PBE) of a relaxed Tb6Pm2NdMg crystal.

abc: 10.012 19.634 6.677
angles: 90.00 99.22 90.00
Space group C2/c (No. 15)
Symmetry-distinct sites (fractional):
Tb: 0.060 0.147 0.030
Tb: 0.113 0.412 0.982
Tb: 0.175 0.260 0.721
Pm: 0.233 0.418 0.498
Nd: 0.000 0.008 0.750
Mg: 0.000 0.293 0.250

Output
- ΔH_f (0 K) (eV/atom) = 0.1059
- Fermi-level density of states (states/eV/f.u.) = 14.77


Number 1: total magnetic moment 0.000 μB/atom. Number 2: total magnetic moment 0.787 μB/atom. Number 3: total magnetic moment 0.000 μB/atom.